1.
DFT (PBE-GGA) results for a relaxed RbTi3Te crystal.

a = 5.2351 Å, b = 5.2351 Å, c = 5.2351 Å
α = 90.00°, β = 90.00°, γ = 90.00°
Atoms (fractional coordinates):
Te1 0.0000 0.0000 0.0000
Ti1 0.0000 0.0000 0.5000
Ti2 0.5000 0.0000 0.0000
Ti3 0.0000 0.5000 0.0000
Rb1 0.5000 0.5000 0.5000

- DOS at the Fermi energy (states/eV/f.u.) = 7.0
- SG = Pm-3m (221)
- total energy (eV/cell) = -23.039
- formation energy (no corrections) (eV per atom) = 0.951

2.
DFT (PBE-GGA) results for a relaxed BaTl2Zn crystal.

a = 5.1617 Å, b = 4.6819 Å, c = 5.2817 Å
α = 90.00°, β = 90.00°, γ = 90.00°
Atoms (fractional coordinates):
Ba1 0.0000 0.5000 0.5000
Tl1 0.5000 0.5000 0.0000
Tl2 0.0000 0.0000 0.0000
Zn1 0.5000 0.0000 0.5000

- DOS at the Fermi energy (states/eV/f.u.) = 3.7
- SG = Pmmm (47)
- total energy (eV/cell) = -8.346

3.
DFT (PBE-GGA) results for a relaxed LiSn2Pt2 crystal.

a = 7.3978 Å, b = 7.3978 Å, c = 3.5459 Å
α = 90.00°, β = 90.00°, γ = 90.00°
Atoms (fractional coordinates):
Sn1 0.1632 0.6632 0.5000
Sn2 0.6632 0.8368 0.5000
Li1 0.5000 0.5000 0.0000
Sn3 0.8368 0.3368 0.5000
Pt1 0.8618 0.6382 0.0000
Sn4 0.3368 0.1632 0.5000
Pt2 0.6382 0.1382 0.0000
Pt3 0.1382 0.3618 0.0000
Pt4 0.3618 0.8618 0.0000
Li2 0.0000 0.0000 0.0000

- DOS at the Fermi energy (states/eV/f.u.) = 2.4
- SG = P4/mbm (127)
- total energy (eV/cell) = -48.529

4.
DFT (PBE-GGA) results for a relaxed LiSnH2Au crystal.

a = 3.8067 Å, b = 5.9219 Å, c = 3.8067 Å
α = 90.00°, β = 90.00°, γ = 90.00°
Atoms (fractional coordinates):
H1 0.5000 0.0000 0.0000
Sn1 0.0000 0.0000 0.0000
Li1 0.0000 0.5000 0.0000
Au1 0.5000 0.5000 0.5000
H2 0.0000 0.0000 0.5000

- DOS at the Fermi energy (states/eV/f.u.) = 1.5
- SG = P4/mmm (123)
- total energy (eV/cell) = -14.463